# ZrTlMo2Cl

A relaxed ZrTlMo2Cl crystal (PBE, the Alexandria database).

Geometry as CIF:
```
data_ZrTlMo2Cl
_chemical_formula_sum 'Zr1 Tl1 Mo2 Cl1'
_cell_length_a 4.426
_cell_length_b 4.426
_cell_length_c 5.392
_cell_angle_alpha 90.00
_cell_angle_beta 90.00
_cell_angle_gamma 90.00
_symmetry_space_group_name_H-M 'P 4/m m m'
_symmetry_Int_Tables_number 123
_symmetry_space_group_name_Hall '-P 4 2'
loop_
_atom_site_label
_atom_site_type_symbol
_atom_site_fract_x
_atom_site_fract_y
_atom_site_fract_z
Zr1 Zr 0.000 0.000 0.000
Tl1 Tl 0.500 0.500 0.000
Mo1 Mo 0.000 0.500 0.500
Cl1 Cl 0.500 0.500 0.500
```

Computed properties:
Final energy: -0.216 hartree per atom
Theoretical density: 8.22 g/cm3